Record 1
Computed, not measured: Tb8DyTm2 after structural relaxation at the PBE level of DFT.

abc: 11.203 15.437 15.423
angles: 22.88 150.58 160.61
Fractional coordinates of all 11 atoms:
Tb 0.546 0.273 0.909
Tb 0.273 0.637 0.454
Tb 0.817 0.908 0.364
Tb 0.636 0.818 0.727
Tb 0.364 0.182 0.273
Tb 0.727 0.363 0.546
Tb 0.454 0.727 0.091
Tm 0.909 0.454 0.182
Dy 0.000 0.000 0.000
Tm 0.091 0.546 0.818
Tb 0.183 0.092 0.636

Computed properties:
energy above the most stable polymorph in this dataset	0	meV per atom

***

Record 2
Computed, not measured: YAg2BiSe4 after structural relaxation at the PBE level of DFT.

abc: 4.185 6.984 7.281
angles: 69.53 90.00 90.00
Fractional coordinates of all 8 atoms:
Ag 0.500 0.000 0.500
Ag 0.000 0.000 0.000
Se 0.000 0.242 0.259
Se 0.500 0.251 0.745
Bi 0.500 0.500 0.000
Se 0.000 0.758 0.741
Y 0.000 0.500 0.500
Se 0.500 0.749 0.255

Computed properties:
total energy	-4.461	eV/atom

***

Record 3
Computed, not measured: LiAcNdCu after structural relaxation at the PBE level of DFT.

abc: 5.361 5.361 5.361
angles: 60.00 60.00 60.00
Fractional coordinates of all 4 atoms:
Li 0.250 0.250 0.250
Ac 0.500 0.500 0.500
Nd 0.000 0.000 0.000
Cu 0.750 0.750 0.750

Computed properties:
total energy	-3.674	eV/atom